(1)
VASP calculation (meta-GGA SCAN) on a PBEsol-optimized structure of NiIr2W.

Computed properties:
ρ in g/cm³: 19.13
Energy of formation in eV per formula unit: -1.0
Calculated total energy in Ry per atom: -4.2081
Space-group type: Pmmm (47)
Magnetic moment in μB per cell: 0.55

Cell lengths 2.725, 3.696, 5.403 Å; angles 90.00, 90.00, 90.00 degrees
Positions (direct):
Ni 0.000 0.000 0.000
Ir 0.500 0.500 0.239
Ir 0.500 0.500 0.761
W 0.000 0.000 0.500

(2)
VASP calculation (meta-GGA SCAN) on a PBEsol-optimized structure of LaNi2Ru.

Computed properties:
ρ in g/cm³: 8.32
Energy of formation in eV per formula unit: -0.7
Calculated total energy in Ry per atom: -2.0396
Space-group type: R-3m (166)
Magnetic moment in μB per cell: 0.89

Cell lengths 5.357, 5.357, 5.357 Å; angles 45.53, 45.53, 45.53 degrees
Positions (direct):
La 0.000 0.000 0.000
Ni 0.192 0.192 0.192
Ni 0.808 0.808 0.808
Ru 0.500 0.500 0.500

(3)
VASP calculation (meta-GGA SCAN) on a PBEsol-optimized structure of SrIrPb2.

Computed properties:
ρ in g/cm³: 11.96
Energy of formation in eV per formula unit: 0.0
Calculated total energy in Ry per atom: -4.5005
Space-group type: P4/mmm (123)
Magnetic moment in μB per cell: 0.00

Cell lengths 3.549, 3.549, 7.649 Å; angles 90.00, 90.00, 90.00 degrees
Positions (direct):
Sr 0.000 0.000 0.000
Ir 0.000 0.000 0.500
Pb 0.500 0.500 0.302
Pb 0.500 0.500 0.698

(4)
VASP calculation (meta-GGA SCAN) on a PBEsol-optimized structure of Ba2Cu3P4.

Computed properties:
ρ in g/cm³: 5.65
Energy of formation in eV per formula unit: -6.0
Calculated total energy in Ry per atom: -1.4072
Space-group type: Ibam (72)
Magnetic moment in μB per cell: 0.00

Cell lengths 8.263, 8.263, 8.263 Å; angles 111.88, 84.32, 136.58 degrees
Positions (direct):
Ba 0.109 0.203 0.312
Ba 0.391 0.703 0.095
Ba 0.609 0.297 0.905
Ba 0.891 0.797 0.688
Cu 0.030 0.750 0.280
Cu 0.250 0.750 0.500
Cu 0.470 0.750 0.720
Cu 0.530 0.250 0.280
Cu 0.750 0.250 0.500
Cu 0.970 0.250 0.720
P 0.121 0.632 0.753
P 0.161 0.869 0.030
P 0.339 0.369 0.708
P 0.379 0.132 0.512
P 0.621 0.868 0.488
P 0.661 0.631 0.292
P 0.839 0.131 0.970
P 0.879 0.368 0.247